# TbCePtRh (GGA-PBE, optimized geometry)
data_TbCePtRh
_chemical_formula_sum 'Tb4 Ce4 Pt4 Rh4'
_cell_length_a 7.020
_cell_length_b 7.020
_cell_length_c 7.020
_cell_angle_alpha 90.00
_cell_angle_beta 90.00
_cell_angle_gamma 90.00
_space_group_name_H-M_alt 'F -4 3 m'
_space_group_IT_number 216
_space_group_name_Hall 'F -4 2 3'
loop_
_atom_site_label
_atom_site_type_symbol
_atom_site_fract_x
_atom_site_fract_y
_atom_site_fract_z
_atom_site_occupancy
Tb1 Tb 0.000 0.000 0.000 1
Ce1 Ce 0.000 0.000 0.500 1
Pt1 Pt 0.250 0.250 0.250 1
Rh1 Rh 0.250 0.250 0.750 1
# crystal system	cubic
# magnetic moment	0.823	μB per formula unit
# energy relative to the elements	-86.3	kJ per mole of atoms
# polymorph energy (0 for the lowest one)	0.119	eV per atom
# N(E_F)	1.911	states/eV/atom
# ρ	11.46	Mg/m³